# 1
12
Lattice="7.500 0.000 0.000 0.000 13.069 0.000 0.000 0.000 4.930" Properties=species:S:1:pos:R:3 comment="KTl2HgTe2, relaxed, DFT PBE" magmom_total_mub_per_fu=0.000 final_energy_ev_per_atom=-2.430 raw_formation_energy_ev_per_atom=-0.36 crystal_system=orthorhombic pbc="T T T"
K 0.000 0.000 0.000
K 3.750 6.534 2.465
Tl 1.779 2.537 2.465
Tl 1.971 9.072 0.000
Tl 5.529 3.997 0.000
Tl 5.722 10.531 2.465
Hg 0.000 6.534 0.000
Hg 3.750 0.000 2.465
Te 1.469 11.046 2.465
Te 2.281 4.512 0.000
Te 5.219 8.557 0.000
Te 6.031 2.022 2.465



# 2
9
Lattice="-4.102 4.102 1.935 4.102 -4.102 1.935 4.102 4.102 -1.935" Properties=species:S:1:pos:R:3 comment="V4Pt4Rh, relaxed, DFT PBE" magmom_total_mub_per_fu=2.408 final_energy_ev_per_atom=-7.981 crystal_system=tetragonal delta_e_f_ev_per_atom=-0.43 pbc="T T T"
V 2.728 0.000 0.000
V 5.477 0.000 0.000
V 0.000 2.728 0.000
V 0.000 5.477 0.000
Pt 2.714 2.714 0.000
Pt 1.389 -1.389 1.935
Pt -1.389 1.389 1.935
Pt 1.389 1.389 1.935
Rh 0.000 0.000 0.000



# 3
12
Lattice="2.977 -6.155 0.000 2.977 6.155 0.000 0.000 0.000 5.495" Properties=species:S:1:pos:R:3 comment="YCoSi3Ni, relaxed, DFT PBE" magmom_total_mub_per_fu=0.000 final_energy_ev_per_atom=-6.333 raw_formation_energy_ev_per_atom=-0.40 crystal_system=orthorhombic pbc="T T T"
Y 2.977 3.531 4.121
Y 2.977 -3.531 1.374
Co 2.977 5.619 1.374
Co 2.977 -5.619 4.121
Si 2.977 3.494 1.374
Si 1.728 0.000 0.000
Si 1.728 0.000 2.747
Si 4.225 0.000 0.000
Si 4.225 0.000 2.747
Si 2.977 -3.494 4.121
Ni 2.977 1.372 1.374
Ni 2.977 -1.372 4.121



# 4
12
Lattice="4.577 -8.254 0.000 4.577 8.254 0.000 -4.312 0.000 6.054" Properties=species:S:1:pos:R:3 comment="Ac4RuAu, relaxed, DFT PBE" e_above_lowest_polymorph_mev_per_atom=8 magmom_total_mub_per_fu=0.000 final_energy_ev_per_atom=-5.172 crystal_system=monoclinic delta_e_f_ev_per_atom=-0.34 pbc="T T T"
Ac 0.936 3.222 1.278
Ac -0.991 0.870 4.435
Ac 1.165 -0.870 1.408
Ac -1.220 -3.222 4.305
Ac 6.062 3.222 1.749
Ac 3.678 0.870 4.646
Ac 5.834 -0.870 1.619
Ac 3.906 -3.222 4.776
Ru 1.343 6.986 4.541
Ru 3.499 -6.986 1.514
Au 3.499 1.412 1.514
Au 1.343 -1.412 4.541



# 5
8
Lattice="-2.736 2.736 5.416 2.736 -2.736 5.416 2.736 2.736 -5.416" Properties=species:S:1:pos:R:3 comment="Co2SiPb, relaxed, DFT PBE" e_above_lowest_polymorph_mev_per_atom=610 magmom_total_mub_per_fu=0.000 final_energy_ev_per_atom=-5.186 raw_formation_energy_ev_per_atom=0.65 crystal_system=tetragonal pbc="T T T"
Co 4.104 1.014 -1.354
Co 1.014 1.368 1.354
Co -1.368 1.722 4.062
Co 1.722 1.368 6.770
Si 0.000 0.000 0.000
Si 0.000 2.736 2.708
Pb 2.736 0.000 2.708
Pb 0.000 0.000 5.416



# 6
8
Lattice="-3.445 3.445 2.546 3.445 -3.445 2.546 3.445 3.445 -2.546" Properties=species:S:1:pos:R:3 comment="CdFe2Ni, relaxed, DFT PBE" magmom_total_mub_per_fu=6.149 final_energy_ev_per_atom=-5.383 crystal_system=tetragonal delta_e_f_ev_per_atom=0.52 pbc="T T T"
Cd 0.000 0.000 0.000
Cd 0.000 3.445 1.273
Fe 1.723 -1.413 1.910
Fe 2.032 1.723 0.637
Fe 1.723 4.858 -0.637
Fe 1.413 1.723 3.183
Ni 3.445 0.000 1.273
Ni 0.000 0.000 2.546



# 7
12
Lattice="7.073 0.000 0.000 0.000 7.864 0.000 0.000 0.000 4.649" Properties=species:S:1:pos:R:3 comment="InSiAg, relaxed, DFT PBE" magmom_total_mub_per_fu=0.000 final_energy_ev_per_atom=-3.379 raw_formation_energy_ev_per_atom=0.29 crystal_system=orthorhombic pbc="T T T"
In 0.000 0.000 0.000
In 0.000 3.932 0.000
In 3.536 0.000 2.325
In 3.536 3.932 2.325
Si 1.567 1.966 1.981
Si 1.969 5.898 4.305
Si 5.104 1.966 0.344
Si 5.506 5.898 2.669
Ag 0.898 5.898 2.020
Ag 2.638 1.966 4.345
Ag 4.434 5.898 0.304
Ag 6.175 1.966 2.629



# 8
11
Lattice="-2.233 3.541 5.985 2.233 -3.541 5.985 2.233 3.541 -5.985" Properties=species:S:1:pos:R:3 comment="Li8SnAu2, relaxed, DFT PBE" e_above_lowest_polymorph_mev_per_atom=0 magmom_total_mub_per_fu=0.000 final_energy_ev_per_atom=-2.744 crystal_system=orthorhombic delta_e_f_ev_per_atom=-0.39 pbc="T T T"
Li 2.233 2.088 -1.843
Li 0.000 0.000 1.785
Li 0.000 2.170 0.000
Li 2.233 2.088 1.843
Li 0.000 1.453 4.141
Li 0.000 4.911 0.000
Li 0.000 0.000 10.184
Li 0.000 1.453 7.828
Sn 2.233 0.000 0.000
Au 2.233 0.000 3.551
Au 0.000 3.541 2.433



# 9
5
Lattice="5.272 0.000 0.000 0.000 5.272 0.000 0.000 0.000 5.200" Properties=species:S:1:pos:R:3 comment="BeTlSCl2, relaxed, DFT PBE" e_above_lowest_polymorph_mev_per_atom=1021 magmom_total_mub_per_fu=0.653 final_energy_ev_per_atom=-2.275 raw_formation_energy_ev_per_atom=0.51 crystal_system=tetragonal pbc="T T T"
Be 0.000 0.000 0.000
Tl 2.636 2.636 2.600
S 2.636 2.636 0.000
Cl 0.000 2.636 2.600
Cl 2.636 0.000 2.600



# 10
10
Lattice="5.137 -2.965 0.000 5.137 2.965 0.000 -3.435 0.000 6.918" Properties=species:S:1:pos:R:3 comment="Nd2BeHgPd6, relaxed, DFT PBE" magmom_total_mub_per_fu=0.000 final_energy_ev_per_atom=-5.014 crystal_system=monoclinic delta_e_f_ev_per_atom=-0.54 pbc="T T T"
Nd 1.713 0.000 1.533
Nd 5.127 0.000 5.385
Be 5.137 0.000 0.000
Hg -1.717 0.000 3.459
Pd 4.238 1.559 1.211
Pd -0.099 0.000 5.710
Pd 2.603 1.559 5.706
Pd 4.238 -1.559 1.211
Pd 6.939 0.000 1.208
Pd 2.603 -1.559 5.706



# 11
6
Lattice="4.683 -1.529 0.000 4.683 1.529 0.000 -2.461 0.000 6.205" Properties=species:S:1:pos:R:3 comment="Al2Rh, relaxed, DFT PBE" magmom_total_mub_per_fu=0.000 final_energy_ev_per_atom=-5.670 crystal_system=monoclinic delta_e_f_ev_per_atom=-0.72 pbc="T T T"
Al -0.330 0.000 2.022
Al 0.948 0.000 5.910
Al 5.958 0.000 0.295
Al 7.237 0.000 4.183
Rh 2.268 0.000 2.091
Rh 4.638 0.000 4.114



# 12
8
Lattice="6.416 -2.659 0.000 6.416 2.659 0.000 -3.298 0.000 5.625" Properties=species:S:1:pos:R:3 comment="UCl2F5, relaxed, DFT PBE" magmom_total_mub_per_fu=0.047 final_energy_ev_per_atom=-5.577 raw_formation_energy_ev_per_atom=-2.53 crystal_system=monoclinic pbc="T T T"
U 0.000 0.000 0.000
Cl 0.914 0.000 4.319
Cl 7.260 0.000 4.277
F 1.739 0.000 1.030
F 5.699 1.304 1.292
F 3.907 1.304 4.375
F 5.699 -1.304 1.292
F 3.907 -1.304 4.375